Record 1
Rb3Ce2PrTe6: optimized geometry, PBE.

Cell: 8.1237 8.1237 8.9654 Å, 98.69 98.69 120.00°
Fractional coordinates of all 12 atoms:
Rb1 0.1661 0.8339 0.5000
Rb2 0.8339 0.1661 0.5000
Rb3 0.5000 0.5000 0.5000
Ce1 0.3333 0.6667 0.0000
Ce2 0.6667 0.3333 0.0000
Pr1 0.0000 0.0000 0.0000
Te1 0.9317 0.5976 0.7951
Te2 0.7341 0.7341 0.2047
Te3 0.0683 0.4024 0.2049
Te4 0.5976 0.9317 0.7951
Te5 0.2659 0.2659 0.7953
Te6 0.4024 0.0683 0.2049

## Properties
DFT total energy, eV/atom: -4.563
Magnetic moment, μB/cell: 2.01
Symmetry: C2/m (12)
Formation energy from raw total energies, eV/atom: -1.36

=====

Record 2
Rb4Ce3PrTe8: optimized geometry, PBE.

Cell: 9.3834 10.1159 9.3827 Å, 117.64 120.00 90.00°
Fractional coordinates of all 16 atoms:
Rb1 0.5000 0.0000 0.0000
Rb2 0.5000 0.0000 0.5000
Rb3 0.0000 0.0000 0.0000
Rb4 0.0000 0.0000 0.5000
Ce1 0.5000 0.5000 0.0000
Ce2 0.5000 0.5000 0.5000
Ce3 0.0000 0.5000 0.5000
Pr1 0.0000 0.5000 0.0000
Te1 0.2353 0.7049 0.9696
Te2 0.2353 0.7049 0.4706
Te3 0.2654 0.2962 0.5308
Te4 0.7343 0.7049 0.9696
Te5 0.2657 0.2951 0.0304
Te6 0.7346 0.7038 0.4692
Te7 0.7647 0.2951 0.5294
Te8 0.7647 0.2951 0.0304

## Properties
DFT total energy, eV/atom: -4.581
Magnetic moment, μB/cell: 3.01
Symmetry: R-3m (166)
Formation energy from raw total energies, eV/atom: -1.36

=====

Record 3
CePrRe4: optimized geometry, PBE.

Cell: 5.5029 5.5029 5.5029 Å, 60.00 60.00 60.00°
Fractional coordinates of all 6 atoms:
Pr1 0.2500 0.2500 0.2500
Re1 0.6250 0.6250 0.1249
Re2 0.6250 0.1249 0.6250
Re3 0.6250 0.6250 0.6250
Re4 0.1249 0.6250 0.6250
Ce1 0.0000 0.0000 0.0000

## Properties
DFT total energy, eV/atom: -10.023
ΔE_f, meV per atom: 61
Magnetic moment, μB/cell: 0.06
Symmetry: F-43m (216)

=====

Record 4
Ce2PrRe: optimized geometry, PBE.

Cell: 3.8193 3.8193 10.3014 Å, 79.32 79.32 60.00°
Fractional coordinates of all 4 atoms:
Pr1 0.0000 0.0000 0.0000
Re1 0.5000 0.5000 0.5000
Ce1 0.1123 0.1123 0.6631
Ce2 0.8877 0.8877 0.3369

## Properties
DFT total energy, eV/atom: -6.834
ΔE_f, meV per atom: 440
Magnetic moment, μB/cell: 0.08
Symmetry: R-3m (166)

=====

Record 5
CePrRe: optimized geometry, PBE.

Cell: 5.4829 4.3410 9.8972 Å, 79.93 73.92 50.84°
Fractional coordinates of all 6 atoms:
Pr1 0.7500 0.5000 0.5000
Pr2 0.2500 0.5000 0.5000
Re1 0.8133 0.3735 0.0000
Re2 0.1867 0.6265 0.0000
Ce1 0.5868 0.0000 0.8264
Ce2 0.4132 0.0000 0.1736

## Properties
DFT total energy, eV/atom: -7.028
ΔE_f, meV per atom: 693
Magnetic moment, μB/cell: 0.00
Symmetry: Fmmm (69)

=====

Record 6
Ce2PrRe: optimized geometry, PBE.

Cell: 3.4378 3.4378 9.0462 Å, 90.00 90.00 90.00°
Fractional coordinates of all 4 atoms:
Pr1 0.5000 0.5000 0.5000
Re1 0.5000 0.5000 0.0000
Ce1 0.0000 0.0000 0.8077
Ce2 0.0000 0.0000 0.1923

## Properties
DFT total energy, eV/atom: -7.127
ΔE_f, meV per atom: 147
Magnetic moment, μB/cell: 0.00
Symmetry: P4/mmm (123)

=====

Record 7
Ce2PrRh: optimized geometry, PBE.

Cell: 3.8558 3.8558 9.4227 Å, 78.19 78.19 60.00°
Fractional coordinates of all 4 atoms:
Ce1 0.0617 0.0617 0.8148
Ce2 0.2719 0.2719 0.1844
Pr1 0.4995 0.4995 0.5014
Rh1 0.6669 0.6669 0.9994

## Properties
DFT total energy, eV/atom: -6.259
ΔE_f, meV per atom: -260
Magnetic moment, μB/cell: 1.00
Symmetry: R3m (160)

=====

Record 8
Ce4PrRh4: optimized geometry, PBE.

Cell: 5.6203 9.0719 9.0719 Å, 90.00 90.00 90.00°
Fractional coordinates of all 18 atoms:
Ce1 0.4997 0.3083 0.8966
Ce2 0.9997 0.6034 0.8083
Ce3 0.4997 0.6917 0.1034
Ce4 0.0003 0.1917 0.6034
Ce5 0.5003 0.8966 0.6917
Ce6 0.0003 0.8083 0.3966
Ce7 0.9997 0.3966 0.1917
Ce8 0.5003 0.1034 0.3083
Pr1 0.0000 0.0000 0.0000
Pr2 0.5000 0.5000 0.5000
Rh1 0.5004 0.8057 0.3879
Rh2 0.5004 0.1943 0.6121
Rh3 0.0004 0.8879 0.6943
Rh4 0.9996 0.3057 0.8879
Rh5 0.9996 0.6943 0.1121
Rh6 0.4996 0.3879 0.1943
Rh7 0.4996 0.6121 0.8057
Rh8 0.0004 0.1121 0.3057

## Properties
DFT total energy, eV/atom: -7.046
ΔE_f, meV per atom: -610
Magnetic moment, μB/cell: 2.73
Symmetry: I4/m (87)

=====

Record 9
Ce4Pr2Rh9: optimized geometry, PBE.

Cell: 4.5751 4.5751 17.3282 Å, 90.00 90.00 120.00°
Fractional coordinates of all 15 atoms:
Ce1 0.3333 0.6667 0.4064
Ce2 0.6667 0.3333 0.5936
Ce3 0.6667 0.3333 0.9012
Ce4 0.3333 0.6667 0.0988
Pr1 0.3333 0.6667 0.7517
Pr2 0.6667 0.3333 0.2483
Rh1 0.0000 0.0000 0.3347
Rh2 0.0000 0.0000 0.6653
Rh3 0.0000 0.0000 0.8399
Rh4 0.0000 0.0000 0.1601
Rh5 0.3333 0.6667 0.5780
Rh6 0.6667 0.3333 0.4220
Rh7 0.6667 0.3333 0.0667
Rh8 0.3333 0.6667 0.9333
Rh9 0.0000 0.0000 0.5000

## Properties
DFT total energy, eV/atom: -7.262
ΔE_f, meV per atom: -632
Magnetic moment, μB/cell: 0.46
Symmetry: P-3m1 (164)

=====

Record 10
Ce2PrRh: optimized geometry, PBE.

Cell: 3.8138 3.8138 9.6084 Å, 78.55 78.55 60.00°
Fractional coordinates of all 4 atoms:
Pr1 0.5000 0.5000 0.5000
Rh1 0.0000 0.0000 0.0000
Ce1 0.2719 0.2719 0.1842
Ce2 0.7281 0.7281 0.8158

## Properties
DFT total energy, eV/atom: -6.259
ΔE_f, meV per atom: -259
Magnetic moment, μB/cell: 1.51
Symmetry: R-3m (166)

=====

Record 11
Ce2PrRh2: optimized geometry, PBE.

Cell: 4.4748 4.4748 6.6675 Å, 73.02 73.02 87.07°
Fractional coordinates of all 5 atoms:
Ce1 0.2276 0.7724 0.5000
Ce2 0.7724 0.2276 0.5000
Pr1 0.0000 0.0000 0.0000
Rh1 0.4309 0.4309 0.2165
Rh2 0.5691 0.5691 0.7835

## Properties
DFT total energy, eV/atom: -6.724
ΔE_f, meV per atom: -454
Magnetic moment, μB/cell: 0.00
Symmetry: C2/m (12)

=====

Record 12
CePrRh2: optimized geometry, PBE.

Cell: 5.6993 5.7380 11.3877 Å, 90.00 103.40 90.00°
Fractional coordinates of all 16 atoms:
Ce1 0.5560 0.8718 0.3636
Ce2 0.4440 0.1282 0.6364
Ce3 0.9440 0.8718 0.1364
Ce4 0.0560 0.1282 0.8636
Pr1 0.9484 0.6291 0.6425
Pr2 0.0516 0.3709 0.3575
Pr3 0.5516 0.6291 0.8575
Pr4 0.4484 0.3709 0.1425
Rh1 0.9215 0.3503 0.0834
Rh2 0.0785 0.6497 0.9166
Rh3 0.5785 0.3503 0.4166
Rh4 0.4215 0.6497 0.5834
Rh5 0.5639 0.1265 0.8985
Rh6 0.4361 0.8735 0.1015
Rh7 0.9361 0.1265 0.6015
Rh8 0.0639 0.8735 0.3985

## Properties
DFT total energy, eV/atom: -7.059
ΔE_f, meV per atom: -705
Magnetic moment, μB/cell: 0.92
Symmetry: P2/c (13)